Entry from Alexandria via LeMat-Bulk: crystalline PrV2HgO8 at its relaxed geometry (GGA+U).

## Properties
Space-group type: No. 164
E: -6.699 eV/atom
Theoretical density: 4.7 g/cm3
Crystal system: trigonal
Total magnetization: 1.1 μB per formula unit

```
12
Lattice="5.958 0.000 0.000 -2.979 5.159 0.000 0.000 0.000 6.593" Properties=species:S:1:pos:R:3 pbc="T T T"
Pr 0.000 0.000 0.000
V 0.000 3.440 4.393
V 2.979 1.720 2.200
Hg 0.000 0.000 3.296
O 0.000 1.744 4.951
O -1.469 4.288 4.951
O 0.000 3.440 2.743
O 1.510 0.872 1.641
O 1.469 4.288 4.951
O 2.979 1.720 3.850
O 4.448 0.872 1.641
O 2.979 3.416 1.641
```